Material: K2ZrVO6
Method: DFT, PBE with a Hubbard U
State: relaxed

As for the uncorrected energy: -67.6 eV for the cell shown. The value obtained for the spin magnetization is 1.1 μB per formula unit.

Cell: 6.2093 6.2093 5.4648 Å, 90.00 90.00 120.00°
Space group P-3m1 (No. 164)
Symmetry-distinct sites (fractional):
K  0.3333  0.6667  0.3867
Zr  0.0000  0.0000  0.0000
V  0.0000  0.0000  0.5000
O  0.1379  0.2758  0.7197